DFT (PBE+U) results for crystalline LaCrNO2 at its relaxed geometry.

As for the total energy: -6.459 eV/atom. The spin magnetization is 3.675 μB per cell.

a b c (Å): 4.4351 4.4351 4.4948
angles (deg): 90.00 90.00 90.00
Last column: nearest neighbours and their distance in Å.
Space group P4/mmm (No. 123)
One atom of each set of equivalent atoms:
La (0.0000, 0.0000, 0.0000) [1 per cell]  4 O 2.22, 2 N 2.25
Cr (0.5000, 0.5000, 0.5000) [1 per cell]  4 N 3.14, 8 O 3.16
N (0.0000, 0.0000, 0.5000) [1 per cell]  2 La 2.25
O (0.0000, 0.5000, 0.0000) [2 per cell]  2 La 2.22